No. 1
Entry from Alexandria: crystalline Ba3As3Pd2 at its relaxed geometry (PBE-GGA).

abc: 4.552 12.395 15.892
angles: 90.00 90.00 90.00
Space group Cmcm (No. 63)
Symmetry-distinct sites (fractional):
Ba: 0.000 0.078 0.104
Ba: 0.000 0.356 0.250
As: 0.000 0.332 0.750
As: 0.000 0.347 0.042
Pd: 0.000 0.220 0.592

Its relative energy among the computed polymorphs is 54 kJ/mol of formula units. The value obtained for the total moment is 0.00 μB/f.u. The volume is 897 Å³/cell. Its formation energy is -6.930 eV/f.u. The calculation puts the density of states at the Fermi level at 5.05 states/eV/f.u. As for the density: 6293 kg/m³.

No. 2
Entry from Alexandria: crystalline BaAs3Pd3 at its relaxed geometry (PBE-GGA).

abc: 6.946 6.946 6.946
angles: 90.00 90.00 90.00
Space group Pm-3n (No. 223)
Symmetry-distinct sites (fractional):
Ba: 0.000 0.000 0.000
As: 0.000 0.250 0.500
Pd: 0.000 0.500 0.250

Its relative energy among the computed polymorphs is 0 kJ/mol of formula units. The value obtained for the total moment is 0.00 μB/f.u. The volume is 335 Å³/cell. Its formation energy is -3.782 eV/f.u. The calculation puts the density of states at the Fermi level at 3.81 states/eV/f.u. As for the density: 6752 kg/m³.

No. 3
Entry from Alexandria: crystalline Ba3AsPd at its relaxed geometry (PBE-GGA).

abc: 5.953 5.953 5.953
angles: 90.00 90.00 90.00
Space group Pm-3m (No. 221)
Symmetry-distinct sites (fractional):
Ba: 0.000 0.000 0.500
As: 0.500 0.500 0.500
Pd: 0.000 0.000 0.000

Its relative energy among the computed polymorphs is 172 kJ/mol of formula units. The value obtained for the total moment is 0.00 μB/f.u. The volume is 211 Å³/cell. Its formation energy is -1.901 eV/f.u. The calculation puts the density of states at the Fermi level at 2.94 states/eV/f.u. As for the density: 4670 kg/m³.

No. 4
Entry from Alexandria: crystalline BaAsPd3 at its relaxed geometry (PBE-GGA).

abc: 5.592 5.592 16.112
angles: 90.00 90.00 90.00
Space group I-4m2 (No. 119)
Symmetry-distinct sites (fractional):
Ba: 0.000 0.000 0.141
As: 0.000 0.000 0.500
As: 0.000 0.500 0.750
Pd: 0.000 0.242 0.627
Pd: 0.000 0.500 0.022

Its relative energy among the computed polymorphs is 104 kJ/mol of formula units. The value obtained for the total moment is 0.00 μB/f.u. The volume is 504 Å³/cell. Its formation energy is -2.159 eV/f.u. The calculation puts the density of states at the Fermi level at 2.72 states/eV/f.u. As for the density: 7008 kg/m³.

No. 5
Entry from Alexandria: crystalline Ba3As5Pd6 at its relaxed geometry (PBE-GGA).

abc: 4.312 13.422 11.218
angles: 90.00 90.00 90.00
Space group Pmmn (No. 59, origin choice 2)
Symmetry-distinct sites (fractional):
Ba: 0.250 0.084 0.249
Ba: 0.250 0.750 0.244
As: 0.250 0.082 0.618
As: 0.250 0.633 0.976
As: 0.250 0.750 0.610
Pd: 0.250 0.052 0.940
Pd: 0.250 0.250 0.003
Pd: 0.250 0.250 0.507
Pd: 0.250 0.583 0.500

The value obtained for the total moment is 0.00 μB/f.u. The volume is 649 Å³/cell. Its formation energy is -10.199 eV/f.u. The calculation puts the density of states at the Fermi level at 8.01 states/eV/f.u. As for the density: 7290 kg/m³.

No. 6
Entry from Alexandria: crystalline BaAsPd3 at its relaxed geometry (PBE-GGA).

abc: 5.951 9.581 7.892
angles: 90.00 90.00 90.00
Space group Imma (No. 74)
Symmetry-distinct sites (fractional):
Ba: 0.000 0.250 0.051
As: 0.000 0.000 0.500
Pd: 0.000 0.250 0.598
Pd: 0.250 0.036 0.750

Its relative energy among the computed polymorphs is 0 kJ/mol of formula units. The value obtained for the total moment is 0.00 μB/f.u. The volume is 450 Å³/cell. Its formation energy is -3.234 eV/f.u. The calculation puts the density of states at the Fermi level at 1.55 states/eV/f.u. As for the density: 7846 kg/m³.

No. 7
Entry from Alexandria: crystalline BaAs6Pd12 at its relaxed geometry (PBE-GGA).

abc: 11.4582 11.4582 9.2075
angles: 90.00 90.00 120.00
Space group R-3m (No. 166, hexagonal axes)
Symmetry-distinct sites (fractional):
Ba: 0.0000 0.0000 0.0000
As: 0.0440 0.5220 0.2838
Pd: 0.0000 0.3736 0.5000
Pd: 0.0912 0.1825 0.3578

The value obtained for the total moment is 0.00 μB/f.u. The volume is 1047 Å³/cell. Its formation energy is -8.132 eV/f.u. The calculation puts the density of states at the Fermi level at 10.02 states/eV/f.u. As for the density: 8869 kg/m³.

No. 8
Entry from Alexandria: crystalline Ba2As2Pd5 at its relaxed geometry (PBE-GGA).

abc: 4.726 4.726 9.135
angles: 90.00 90.00 90.00
Space group P4/mmm (No. 123)
Symmetry-distinct sites (fractional):
Ba: 0.000 0.000 0.000
Ba: 0.000 0.000 0.500
As: 0.500 0.500 0.195
Pd: 0.000 0.500 0.276
Pd: 0.500 0.500 0.500

The value obtained for the total moment is 0.00 μB/f.u. The volume is 204 Å³/cell. Its formation energy is -5.482 eV/f.u. The calculation puts the density of states at the Fermi level at 4.29 states/eV/f.u. As for the density: 7786 kg/m³.